! WO GGA+U relaxed; values from VASP
! - E above lowest polymorph: 138 meV/atom
! - E: -6.709 eV per atom
! - Calculated volume: 14.837 Å³/atom
&SYSTEM
  ibrav = 0, nat = 12, ntyp = 2
/
ATOMIC_SPECIES
W 183.84 W.upf
O 16.00 O.upf
CELL_PARAMETERS angstrom
-2.7018 -1.3155 -0.7831
-1.1511 -0.4660 4.7543
-5.0613 10.5113 -0.1950
ATOMIC_POSITIONS crystal
W 0.0000 0.8998 0.8748
W 0.5000 0.1002 0.6252
W 0.5000 0.1002 0.3748
W 0.0000 0.8998 0.1252
W 0.0000 0.7472 0.5000
W 0.5000 0.2528 0.0000
O 0.0000 0.8209 0.6893
O 0.5000 0.1791 0.8107
O 0.5000 0.1791 0.1893
O 0.0000 0.8209 0.3107
O 0.0000 0.5902 0.0000
O 0.5000 0.4098 0.5000